Below is a relaxed structure of Cs3RhC, with properties calculated at the GGA-PBE level. Values from VASP.

## Properties
As for the calculated formation energy: 1.38 eV per atom. For the uncorrected energy, the calculation gives -2.45 eV/atom.

The structure in Quantum ESPRESSO input format:
```
&SYSTEM
  ibrav = 0, nat = 5, ntyp = 3
/
ATOMIC_SPECIES
Cs 132.91 Cs.upf
Rh 102.91 Rh.upf
C 12.01 C.upf
ATOMIC_POSITIONS angstrom
Cs 0.000 0.000 3.046
Cs 0.000 3.046 0.000
Cs 3.046 0.000 0.000
Rh 0.000 0.000 0.000
C 3.046 3.046 3.046
CELL_PARAMETERS angstrom
6.092 0.000 0.000
0.000 6.092 0.000
0.000 0.000 6.092
```